(1)
Compound: Be2TlZnCu
Source: the Alexandria database
Functional: GGA-PBE
Structure: optimized geometry

Summary:
Formation energy (eV per atom): 0.93
Spin magnetization (μB/f.u.): 0.0
Electronic total energy (eV/atom): -2.112

Cell and atoms, written as CIF:
```
data_Be2TlZnCu
_cell_length_a 4.215
_cell_length_b 4.215
_cell_length_c 5.307
_cell_angle_alpha 90.00
_cell_angle_beta 90.00
_cell_angle_gamma 90.00
_space_group_name_H-M_alt 'P 1'
_space_group_IT_number 1
loop_
_space_group_symop_operation_xyz
'x,y,z'
loop_
_atom_site_label
_atom_site_type_symbol
_atom_site_fract_x
_atom_site_fract_y
_atom_site_fract_z
Be1 Be 0.000 0.500 0.000
Be2 Be 0.500 0.000 0.000
Tl1 Tl 0.000 0.000 0.500
Zn1 Zn 0.000 0.000 0.000
Cu1 Cu 0.500 0.500 0.500
```



(2)
Compound: InPRh4
Source: the Alexandria database
Functional: GGA-PBE
Structure: optimized geometry

Summary:
Formation energy (eV per atom): 0.29
Spin magnetization (μB/f.u.): 0.0
Electronic total energy (eV/atom): -5.974

Cell and atoms, written as CIF:
```
data_InPRh4
_cell_length_a 5.178
_cell_length_b 5.178
_cell_length_c 5.178
_cell_angle_alpha 60.00
_cell_angle_beta 60.00
_cell_angle_gamma 60.00
_space_group_name_H-M_alt 'P 1'
_space_group_IT_number 1
loop_
_space_group_symop_operation_xyz
'x,y,z'
loop_
_atom_site_label
_atom_site_type_symbol
_atom_site_fract_x
_atom_site_fract_y
_atom_site_fract_z
In1 In 0.000 0.000 0.000
P1 P 0.250 0.250 0.250
Rh1 Rh 0.126 0.625 0.625
Rh2 Rh 0.625 0.126 0.625
Rh3 Rh 0.625 0.625 0.126
Rh4 Rh 0.625 0.625 0.625
```



(3)
Compound: KNi2Pb
Source: the Alexandria database
Functional: GGA-PBE
Structure: optimized geometry

Summary:
Formation energy (eV per atom): 0.20
Spin magnetization (μB/f.u.): 0.0
Electronic total energy (eV/atom): -3.891

Cell and atoms, written as CIF:
```
data_KNi2Pb
_cell_length_a 4.452
_cell_length_b 4.452
_cell_length_c 6.706
_cell_angle_alpha 109.52
_cell_angle_beta 109.52
_cell_angle_gamma 60.04
_space_group_name_H-M_alt 'P 1'
_space_group_IT_number 1
loop_
_space_group_symop_operation_xyz
'x,y,z'
loop_
_atom_site_label
_atom_site_type_symbol
_atom_site_fract_x
_atom_site_fract_y
_atom_site_fract_z
K1 K 0.000 0.000 0.000
Ni1 Ni 0.506 0.506 0.512
Ni2 Ni 0.830 0.830 0.483
Pb1 Pb 0.184 0.184 0.546
```



(4)
Compound: LiNi4Pd
Source: the Alexandria database
Functional: GGA-PBE
Structure: optimized geometry

Summary:
Formation energy (eV per atom): 0.01
Spin magnetization (μB/f.u.): 0.0
Electronic total energy (eV/atom): -5.030

Cell and atoms, written as CIF:
```
data_LiNi4Pd
_cell_length_a 4.708
_cell_length_b 4.708
_cell_length_c 4.708
_cell_angle_alpha 60.00
_cell_angle_beta 60.00
_cell_angle_gamma 60.00
_space_group_name_H-M_alt 'P 1'
_space_group_IT_number 1
loop_
_space_group_symop_operation_xyz
'x,y,z'
loop_
_atom_site_label
_atom_site_type_symbol
_atom_site_fract_x
_atom_site_fract_y
_atom_site_fract_z
Li1 Li 0.000 0.000 0.000
Ni1 Ni 0.375 0.375 0.375
Ni2 Ni 0.375 0.375 0.875
Ni3 Ni 0.375 0.875 0.375
Ni4 Ni 0.875 0.375 0.375
Pd1 Pd 0.750 0.750 0.750
```



(5)
Compound: Mg2Zn5GaCu2
Source: the Alexandria database
Functional: GGA-PBE
Structure: optimized geometry

Summary:
Formation energy (eV per atom): -0.07
Spin magnetization (μB/f.u.): 0.0
Electronic total energy (eV/atom): -2.149

Cell and atoms, written as CIF:
```
data_Mg2Zn5GaCu2
_cell_length_a 8.912
_cell_length_b 8.912
_cell_length_c 4.046
_cell_angle_alpha 90.00
_cell_angle_beta 90.00
_cell_angle_gamma 90.00
_space_group_name_H-M_alt 'P 1'
_space_group_IT_number 1
loop_
_space_group_symop_operation_xyz
'x,y,z'
loop_
_atom_site_label
_atom_site_type_symbol
_atom_site_fract_x
_atom_site_fract_y
_atom_site_fract_z
Mg1 Mg 0.182 0.318 0.000
Mg2 Mg 0.318 0.818 0.000
Mg3 Mg 0.682 0.182 0.000
Mg4 Mg 0.818 0.682 0.000
Zn1 Zn 0.000 0.500 0.500
Zn2 Zn 0.069 0.793 0.500
Zn3 Zn 0.207 0.069 0.500
Zn4 Zn 0.293 0.569 0.500
Zn5 Zn 0.431 0.293 0.500
Zn6 Zn 0.500 0.000 0.500
Zn7 Zn 0.569 0.707 0.500
Zn8 Zn 0.707 0.431 0.500
Zn9 Zn 0.793 0.931 0.500
Zn10 Zn 0.931 0.207 0.500
Ga1 Ga 0.000 0.000 0.000
Ga2 Ga 0.500 0.500 0.000
Cu1 Cu 0.111 0.611 0.000
Cu2 Cu 0.389 0.111 0.000
Cu3 Cu 0.611 0.889 0.000
Cu4 Cu 0.889 0.389 0.000
```



(6)
Compound: SrCu2Pt2
Source: the Alexandria database
Functional: GGA-PBE
Structure: optimized geometry

Summary:
Formation energy (eV per atom): -0.35
Spin magnetization (μB/f.u.): 0.0
Electronic total energy (eV/atom): -4.745

Cell and atoms, written as CIF:
```
data_SrCu2Pt2
_cell_length_a 6.209
_cell_length_b 6.209
_cell_length_c 6.209
_cell_angle_alpha 140.33
_cell_angle_beta 140.33
_cell_angle_gamma 57.35
_space_group_name_H-M_alt 'P 1'
_space_group_IT_number 1
loop_
_space_group_symop_operation_xyz
'x,y,z'
loop_
_atom_site_label
_atom_site_type_symbol
_atom_site_fract_x
_atom_site_fract_y
_atom_site_fract_z
Sr1 Sr 0.000 0.000 0.000
Cu1 Cu 0.250 0.750 0.500
Cu2 Cu 0.750 0.250 0.500
Pt1 Pt 0.382 0.382 0.000
Pt2 Pt 0.618 0.618 0.000
```



(7)
Compound: NbNi2SnBr
Source: the Alexandria database
Functional: GGA-PBE
Structure: optimized geometry

Summary:
Spin magnetization (μB/f.u.): 0.0
Formation energy from raw total energies (meV/atom): 1021.4
Electronic total energy (eV/atom): -4.440

Cell and atoms, written as CIF:
```
data_NbNi2SnBr
_cell_length_a 4.616
_cell_length_b 4.616
_cell_length_c 5.756
_cell_angle_alpha 90.00
_cell_angle_beta 90.00
_cell_angle_gamma 90.00
_space_group_name_H-M_alt 'P 1'
_space_group_IT_number 1
loop_
_space_group_symop_operation_xyz
'x,y,z'
loop_
_atom_site_label
_atom_site_type_symbol
_atom_site_fract_x
_atom_site_fract_y
_atom_site_fract_z
Nb1 Nb 0.000 0.000 0.000
Ni1 Ni 0.000 0.500 0.000
Ni2 Ni 0.500 0.000 0.000
Sn1 Sn 0.000 0.000 0.500
Br1 Br 0.500 0.500 0.500
```



(8)
Compound: Al3ZnGa7
Source: the Alexandria database
Functional: GGA-PBE
Structure: optimized geometry

Summary:
Formation energy (eV per atom): 0.12
Spin magnetization (μB/f.u.): 0.0
Electronic total energy (eV/atom): -2.948

Cell and atoms, written as CIF:
```
data_Al3ZnGa7
_cell_length_a 6.658
_cell_length_b 6.658
_cell_length_c 5.239
_cell_angle_alpha 106.63
_cell_angle_beta 106.63
_cell_angle_gamma 88.85
_space_group_name_H-M_alt 'P 1'
_space_group_IT_number 1
loop_
_space_group_symop_operation_xyz
'x,y,z'
loop_
_atom_site_label
_atom_site_type_symbol
_atom_site_fract_x
_atom_site_fract_y
_atom_site_fract_z
Al1 Al 0.000 0.000 0.000
Al2 Al 0.207 0.793 0.500
Al3 Al 0.793 0.207 0.500
Zn1 Zn 0.500 0.500 0.000
Ga1 Ga 0.052 0.586 0.801
Ga2 Ga 0.209 0.209 0.797
Ga3 Ga 0.414 0.948 0.199
Ga4 Ga 0.500 0.500 0.500
Ga5 Ga 0.586 0.052 0.801
Ga6 Ga 0.791 0.791 0.203
Ga7 Ga 0.948 0.414 0.199
```



(9)
Compound: TcAsPd
Source: the Alexandria database
Functional: GGA-PBE
Structure: optimized geometry

Summary:
Formation energy (eV per atom): -0.08
Spin magnetization (μB/f.u.): 0.0
Electronic total energy (eV/atom): -6.813

Cell and atoms, written as CIF:
```
data_TcAsPd
_cell_length_a 6.939
_cell_length_b 6.939
_cell_length_c 4.596
_cell_angle_alpha 106.11
_cell_angle_beta 106.11
_cell_angle_gamma 25.76
_space_group_name_H-M_alt 'P 1'
_space_group_IT_number 1
loop_
_space_group_symop_operation_xyz
'x,y,z'
loop_
_atom_site_label
_atom_site_type_symbol
_atom_site_fract_x
_atom_site_fract_y
_atom_site_fract_z
Tc1 Tc 0.065 0.065 0.314
Tc2 Tc 0.935 0.935 0.686
As1 As 0.410 0.410 0.219
As2 As 0.590 0.590 0.781
Pd1 Pd 0.269 0.269 0.758
Pd2 Pd 0.731 0.731 0.242
```



(10)
Compound: VCrP2
Source: the Alexandria database
Functional: GGA-PBE
Structure: optimized geometry

Summary:
Formation energy (eV per atom): -0.48
Spin magnetization (μB/f.u.): 2.8
Electronic total energy (eV/atom): -7.871

Cell and atoms, written as CIF:
```
data_VCrP2
_cell_length_a 5.873
_cell_length_b 5.873
_cell_length_c 5.873
_cell_angle_alpha 33.81
_cell_angle_beta 33.81
_cell_angle_gamma 33.81
_space_group_name_H-M_alt 'P 1'
_space_group_IT_number 1
loop_
_space_group_symop_operation_xyz
'x,y,z'
loop_
_atom_site_label
_atom_site_type_symbol
_atom_site_fract_x
_atom_site_fract_y
_atom_site_fract_z
V1 V 0.000 0.000 0.000
Cr1 Cr 0.825 0.825 0.825
P1 P 0.248 0.248 0.248
P2 P 0.415 0.415 0.415
```



(11)
Compound: Dy3Y2Zn3
Source: the Alexandria database
Functional: GGA-PBE
Structure: optimized geometry

Summary:
Formation energy (eV per atom): -0.25
Spin magnetization (μB/f.u.): 0.0
Electronic total energy (eV/atom): -4.065

Cell and atoms, written as CIF:
```
data_Dy3Y2Zn3
_cell_length_a 11.182
_cell_length_b 11.182
_cell_length_c 11.182
_cell_angle_alpha 161.41
_cell_angle_beta 153.23
_cell_angle_gamma 32.79
_space_group_name_H-M_alt 'P 1'
_space_group_IT_number 1
loop_
_space_group_symop_operation_xyz
'x,y,z'
loop_
_atom_site_label
_atom_site_type_symbol
_atom_site_fract_x
_atom_site_fract_y
_atom_site_fract_z
Dy1 Dy 0.000 0.000 0.000
Dy2 Dy 0.382 0.882 0.500
Dy3 Dy 0.618 0.118 0.500
Y1 Y 0.228 0.228 0.000
Y2 Y 0.772 0.772 0.000
Zn1 Zn 0.115 0.615 0.500
Zn2 Zn 0.500 0.500 0.000
Zn3 Zn 0.885 0.385 0.500
```



(12)
Compound: Pu2PaAu
Source: the Alexandria database
Functional: GGA-PBE
Structure: optimized geometry

Summary:
Formation energy (eV per atom): 0.01
Spin magnetization (μB/f.u.): 10.8
Electronic total energy (eV/atom): -10.348

Cell and atoms, written as CIF:
```
data_Pu2PaAu
_cell_length_a 3.370
_cell_length_b 3.370
_cell_length_c 10.098
_cell_angle_alpha 100.00
_cell_angle_beta 100.00
_cell_angle_gamma 59.58
_space_group_name_H-M_alt 'P 1'
_space_group_IT_number 1
loop_
_space_group_symop_operation_xyz
'x,y,z'
loop_
_atom_site_label
_atom_site_type_symbol
_atom_site_fract_x
_atom_site_fract_y
_atom_site_fract_z
Pu1 Pu 0.000 0.000 0.000
Pu2 Pu 0.169 0.169 0.490
Pa1 Pa 0.628 0.628 0.746
Au1 Au 0.752 0.752 0.245
```



Q: What is the electronic total energy in the ninth record?
A: -6.813 eV/atom



Q: electronic total energy of number 8 (Al3ZnGa7)?
A: -2.948 eV/atom



Q: Among the records above, which one has the lowest electronic total energy?
A: Pu2PaAu